This record from Alexandria describes a PBEsol-optimized structure of LaY2Cu2. The functional is SCAN.

DFT formation energy, eV per atom: -0.159

Lattice parameters (Å, degrees): 7.8435 7.8435 3.7625 90.00 90.00 90.00
Space group P4/mbm (No. 127)
Symmetry-distinct sites (fractional):
La (0.0000, 0.0000, 0.0000) x2
Y (0.1632, 0.3368, 0.5000) x4
Cu (0.1180, 0.6180, 0.0000) x4